[1]
# Rb2LaAlBr6

A geometry-optimized Rb2LaAlBr6 structure (PBE, Alexandria).

Lattice parameters (Å, degrees): 8.4087 8.4087 8.4087 60.00 60.00 60.00
With the nearest neighbours (Å) after each atom.
Atoms (fractional coordinates):
Rb: 0.2500 0.2500 0.2500  12 Br 4.20
Rb: 0.7500 0.7500 0.7500  12 Br 4.20
La: 0.0000 0.0000 0.0000  6 Br 2.93
Al: 0.5000 0.5000 0.5000  6 Br 3.02
Br: 0.2464 0.2464 0.7536  1 La 2.93, 1 Al 3.02
Br: 0.2464 0.7536 0.2464  1 La 2.93, 1 Al 3.02
Br: 0.2464 0.7536 0.7536  1 La 2.93, 1 Al 3.02
Br: 0.7536 0.2464 0.2464  1 La 2.93, 1 Al 3.02
Br: 0.7536 0.2464 0.7536  1 La 2.93, 1 Al 3.02
Br: 0.7536 0.7536 0.2464  1 La 2.93, 1 Al 3.02

## Properties
As for the space group: Fm-3m. As for the magnetic moment: 0.00 μB/f.u. For the raw formation energy, the calculation gives -15.0 eV/f.u. For the density, the calculation gives 3.2 g/cm³. Its density of states at the Fermi level is 0.000 states/eV per atom.

=====

[2]
# CaCeInPt

A geometry-optimized CaCeInPt structure (PBE, Alexandria).

Lattice parameters (Å, degrees): 7.3692 7.3692 7.3692 90.00 90.00 90.00
With the nearest neighbours (Å) after each atom.
Atoms (fractional coordinates):
Ca: 0.0000 0.0000 0.0000  4 In 3.19, 4 Pt 3.19
Ca: 0.0000 0.5000 0.5000  4 In 3.19, 4 Pt 3.19
Ca: 0.5000 0.0000 0.5000  4 In 3.19, 4 Pt 3.19
Ca: 0.5000 0.5000 0.0000  4 In 3.19, 4 Pt 3.19
Ce: 0.0000 0.0000 0.5000  4 Pt 3.19, 4 In 3.19
Ce: 0.0000 0.5000 0.0000  4 Pt 3.19, 4 In 3.19
Ce: 0.5000 0.0000 0.0000  4 Pt 3.19, 4 In 3.19
Ce: 0.5000 0.5000 0.5000  4 Pt 3.19, 4 In 3.19
In: 0.2500 0.2500 0.2500  4 Ce 3.19, 4 Ca 3.19
In: 0.2500 0.7500 0.7500  4 Ce 3.19, 4 Ca 3.19
In: 0.7500 0.2500 0.7500  4 Ce 3.19, 4 Ca 3.19
In: 0.7500 0.7500 0.2500  4 Ce 3.19, 4 Ca 3.19
Pt: 0.2500 0.2500 0.7500  4 Ce 3.19, 4 Ca 3.19
Pt: 0.2500 0.7500 0.2500  4 Ce 3.19, 4 Ca 3.19
Pt: 0.7500 0.2500 0.2500  4 Ce 3.19, 4 Ca 3.19
Pt: 0.7500 0.7500 0.7500  4 Ca 3.19, 4 Ce 3.19

## Properties
As for the space group: F-43m. As for the magnetic moment: 0.78 μB/f.u. For the density, the calculation gives 8.1 g/cm³. Its density of states at the Fermi level is 1.975 states/eV per atom. The value obtained for the calculated formation energy is -0.587 eV per atom.

=====

[3]
# YMg2Zn

A geometry-optimized YMg2Zn structure (PBE, Alexandria).

Lattice parameters (Å, degrees): 3.3310 3.3310 8.1853 90.00 90.00 90.00
With the nearest neighbours (Å) after each atom.
Atoms (fractional coordinates):
Y: 0.0000 0.0000 0.0000  4 Y 3.33, 8 Mg 3.38
Mg: 0.5000 0.5000 0.2968  4 Zn 2.88
Mg: 0.5000 0.5000 0.7032  4 Zn 2.88
Zn: 0.0000 0.0000 0.5000  8 Mg 2.88

## Properties
As for the space group: P4/mmm. As for the magnetic moment: 0.23 μB/f.u. For the density, the calculation gives 3.7 g/cm³. Its density of states at the Fermi level is 0.805 states/eV per atom. The value obtained for the calculated formation energy is -0.088 eV per atom.

=====

[4]
# Sm3Tm6In

A geometry-optimized Sm3Tm6In structure (PBE, Alexandria).

Lattice parameters (Å, degrees): 12.8514 3.5246 14.3251 90.00 108.69 90.00
With the nearest neighbours (Å) after each atom.
Atoms (fractional coordinates):
Sm: 0.0092 0.2500 0.3957  7 Tm 3.27-3.58, 1 In 3.28, 4 Sm 3.52-3.54
Sm: 0.3776 0.2500 0.0003  7 Tm 3.33-3.66, 4 Sm 3.52-3.61
Sm: 0.4668 0.2500 0.5927  4 Tm 3.24-3.57, 4 Sm 3.51-3.52
Sm: 0.5332 0.7500 0.4073  4 Tm 3.24-3.57, 4 Sm 3.51-3.52
Sm: 0.6224 0.7500 0.9997  7 Tm 3.33-3.66, 4 Sm 3.52-3.61
Sm: 0.9908 0.7500 0.6043  7 Tm 3.27-3.58, 1 In 3.28, 4 Sm 3.52-3.54
Tm: 0.1368 0.7500 0.0221  3 In 3.30-3.40, 6 Tm 3.52-3.57, 2 Sm 3.66
Tm: 0.1453 0.2500 0.8103  3 Sm 3.33-3.46, 2 In 3.33, 7 Tm 3.43-3.62
Tm: 0.2175 0.2500 0.5995  4 Sm 3.24-3.42, 7 Tm 3.36-3.58
Tm: 0.2512 0.7500 0.3938  6 Tm 3.48-3.58, 2 In 3.51, 5 Sm 3.57-3.72
Tm: 0.3312 0.2500 0.2183  1 In 3.18, 3 Sm 3.36-3.56, 4 Tm 3.48-3.52
Tm: 0.3831 0.7500 0.7893  7 Tm 3.36-3.71, 5 Sm 3.52-3.76
Tm: 0.6169 0.2500 0.2107  7 Tm 3.36-3.71, 5 Sm 3.52-3.76
Tm: 0.6688 0.7500 0.7817  1 In 3.18, 3 Sm 3.36-3.56, 4 Tm 3.48-3.52
Tm: 0.7488 0.2500 0.6062  6 Tm 3.48-3.58, 2 In 3.51, 5 Sm 3.57-3.72
Tm: 0.7825 0.7500 0.4005  4 Sm 3.24-3.42, 7 Tm 3.36-3.58
Tm: 0.8547 0.7500 0.1897  3 Sm 3.33-3.46, 2 In 3.33, 7 Tm 3.43-3.62
Tm: 0.8632 0.2500 0.9779  3 In 3.30-3.40, 6 Tm 3.52-3.57, 2 Sm 3.66
In: 0.0760 0.2500 0.1928  8 Tm 3.18-3.51, 1 Sm 3.28, 2 In 3.52
In: 0.9240 0.7500 0.8072  8 Tm 3.18-3.51, 1 Sm 3.28, 2 In 3.52

## Properties
As for the space group: P2_1/m. As for the magnetic moment: 0.00 μB/f.u. For the density, the calculation gives 8.5 g/cm³. Its density of states at the Fermi level is 1.367 states/eV per atom. The value obtained for the calculated formation energy is -0.026 eV per atom.

=====

[5]
# Na2LiIBr6

A geometry-optimized Na2LiIBr6 structure (PBE, Alexandria).

Lattice parameters (Å, degrees): 7.3895 7.4925 7.6637 63.80 86.25 67.11
With the nearest neighbours (Å) after each atom.
Atoms (fractional coordinates):
Na: 0.0000 0.0000 0.0000  5 Br 2.88-3.14
Na: 0.4858 0.9129 0.5503  4 Br 2.83-3.10
Li: 0.1210 0.5723 0.5898  4 Br 2.50-2.76
I: 0.7018 0.5435 0.1204  4 Br 2.66-2.86
Br: 0.1553 0.9210 0.3756  1 Li 2.50
Br: 0.2664 0.1667 0.7563  1 Li 2.50
Br: 0.5127 0.3574 0.4051  1 I 2.66
Br: 0.6063 0.4011 0.8878  1 I 2.69
Br: 0.7996 0.7278 0.3203  1 I 2.75, 1 Li 2.76
Br: 0.8946 0.7565 0.8109  1 Li 2.73, 1 I 2.86

## Properties
As for the space group: P1. As for the magnetic moment: 0.00 μB/f.u. For the raw formation energy, the calculation gives -8.9 eV/f.u. For the density, the calculation gives 3.1 g/cm³. Its density of states at the Fermi level is 0.000 states/eV per atom.

=====

[6]
# SrLa2Pm

A geometry-optimized SrLa2Pm structure (PBE, Alexandria).

Lattice parameters (Å, degrees): 5.4206 5.4206 5.3347 90.00 90.00 90.00
With the nearest neighbours (Å) after each atom.
Atoms (fractional coordinates):
Sr: 0.0000 0.0000 0.0000  8 La 3.80, 4 Pm 3.83
La: 0.0000 0.5000 0.5000  4 Pm 3.80, 4 Sr 3.80, 4 La 3.83
La: 0.5000 0.0000 0.5000  4 Pm 3.80, 4 Sr 3.80, 4 La 3.83
Pm: 0.5000 0.5000 0.0000  8 La 3.80, 4 Sr 3.83

## Properties
The value obtained for the distance to the lowest polymorph of the same formula is 0.0709 eV/atom. As for the space group: P4/mmm. As for the magnetic moment: 0.00 μB/f.u. For the density, the calculation gives 5.4 g/cm³. Its density of states at the Fermi level is 1.904 states/eV per atom. The value obtained for the calculated formation energy is 0.146 eV per atom.

=====

[7]
# Ca2AlZnRh2

A geometry-optimized Ca2AlZnRh2 structure (PBE, Alexandria).

Lattice parameters (Å, degrees): 8.1848 8.1848 8.1848 137.96 61.13 137.74
With the nearest neighbours (Å) after each atom.
Atoms (fractional coordinates):
Ca: 0.1712 0.2386 0.4098  5 Rh 3.03-3.16, 2 Zn 3.16, 2 Al 3.22
Ca: 0.3288 0.7386 0.0674  5 Rh 3.03-3.16, 2 Zn 3.16, 2 Al 3.22
Ca: 0.6712 0.2614 0.9326  5 Rh 3.03-3.16, 2 Zn 3.16, 2 Al 3.22
Ca: 0.8288 0.7614 0.5902  5 Rh 3.03-3.16, 2 Zn 3.16, 2 Al 3.22
Al: 0.2500 0.7500 0.5000  4 Rh 2.49
Al: 0.7500 0.2500 0.5000  4 Rh 2.49
Zn: 0.2500 0.2500 0.0000  4 Rh 2.62
Zn: 0.7500 0.7500 0.0000  4 Rh 2.62
Rh: 0.1048 0.7302 0.8351  2 Al 2.49, 2 Zn 2.62
Rh: 0.3952 0.2302 0.6254  2 Al 2.49, 2 Zn 2.62
Rh: 0.6048 0.7698 0.3746  2 Al 2.49, 2 Zn 2.62
Rh: 0.8952 0.2698 0.1649  2 Al 2.49, 2 Zn 2.62

## Properties
As for the space group: Ibam. As for the magnetic moment: 0.00 μB/f.u. For the density, the calculation gives 5.1 g/cm³. Its density of states at the Fermi level is 0.376 states/eV per atom. The value obtained for the calculated formation energy is -0.571 eV per atom.

=====

[8]
# Nd2PPb

A geometry-optimized Nd2PPb structure (PBE, Alexandria).

Lattice parameters (Å, degrees): 4.0827 4.0827 24.4902 90.00 90.00 120.00
With the nearest neighbours (Å) after each atom.
Atoms (fractional coordinates):
Nd: 0.0000 0.0000 0.2339  3 P 2.87
Nd: 0.0000 0.0000 0.7661  3 P 2.87
Nd: 0.3333 0.6667 0.4328  3 P 2.87
Nd: 0.3333 0.6667 0.9005  3 P 2.87
Nd: 0.6667 0.3333 0.0995  3 P 2.87
Nd: 0.6667 0.3333 0.5672  3 P 2.87
P: 0.0000 0.0000 0.5000  6 Nd 2.87
P: 0.3333 0.6667 0.1667  6 Nd 2.87
P: 0.6667 0.3333 0.8333  6 Nd 2.87
Pb: 0.0000 0.0000 0.0000  6 Nd 3.39
Pb: 0.3333 0.6667 0.6667  6 Nd 3.39
Pb: 0.6667 0.3333 0.3333  6 Nd 3.39

## Properties
The value obtained for the distance to the lowest polymorph of the same formula is 0.0000 eV/atom. As for the space group: R-3m. As for the magnetic moment: 0.00 μB/f.u. For the density, the calculation gives 7.4 g/cm³. Its density of states at the Fermi level is 0.406 states/eV per atom. The value obtained for the calculated formation energy is -1.035 eV per atom.

=====

[9]
# Ac4SiSn3

A geometry-optimized Ac4SiSn3 structure (PBE, Alexandria).

Lattice parameters (Å, degrees): 4.4782 4.9658 12.2073 90.00 90.00 90.00
With the nearest neighbours (Å) after each atom.
Atoms (fractional coordinates):
Ac: 0.0000 0.0000 0.0000  1 Si 3.31, 4 Sn 3.43
Ac: 0.0000 0.5000 0.4843  5 Sn 3.43-3.46, 2 Si 3.60
Ac: 0.5000 0.0000 0.7107  7 Sn 3.42-3.70
Ac: 0.5000 0.5000 0.2168  4 Si 3.41, 3 Sn 3.43-3.54
Si: 0.0000 0.0000 0.2708  2 Sn 2.91
Sn: 0.0000 0.5000 0.7679  2 Sn 3.03
Sn: 0.5000 0.0000 0.4230  2 Si 2.91
Sn: 0.5000 0.5000 0.9357  2 Sn 3.03

## Properties
As for the space group: Pmm2. As for the magnetic moment: 0.00 μB/f.u. For the raw formation energy, the calculation gives -5.2 eV/f.u. For the density, the calculation gives 7.9 g/cm³. Its density of states at the Fermi level is 1.020 states/eV per atom.

=====

[10]
# YZrO2F

A geometry-optimized YZrO2F structure (PBE, Alexandria).

Lattice parameters (Å, degrees): 4.4250 4.4250 4.1954 90.00 90.00 90.00
With the nearest neighbours (Å) after each atom.
Atoms (fractional coordinates):
Y: 0.0000 0.0000 0.0000  2 F 2.10, 4 O 2.21
Zr: 0.5000 0.5000 0.5000  8 O 3.05, 4 F 3.13
O: 0.0000 0.5000 0.0000  2 Y 2.21
O: 0.5000 0.0000 0.0000  2 Y 2.21
F: 0.0000 0.0000 0.5000  2 Y 2.10

## Properties
As for the space group: P4/mmm. As for the magnetic moment: 1.99 μB/f.u. For the raw formation energy, the calculation gives -10.4 eV/f.u. For the density, the calculation gives 4.7 g/cm³. Its density of states at the Fermi level is 0.690 states/eV per atom.

=====

[11]
# Ca4AcAu5

A geometry-optimized Ca4AcAu5 structure (PBE, Alexandria).

Lattice parameters (Å, degrees): 3.7221 3.7221 18.2752 90.00 90.00 90.00
With the nearest neighbours (Å) after each atom.
Atoms (fractional coordinates):
Ca: 0.0000 0.0000 0.0967  8 Au 3.17-3.18, 2 Ca 3.54-3.55
Ca: 0.0000 0.0000 0.2909  8 Au 3.17-3.20, 1 Ca 3.55
Ca: 0.0000 0.0000 0.7091  8 Au 3.17-3.20, 1 Ca 3.55
Ca: 0.0000 0.0000 0.9033  8 Au 3.17-3.18, 2 Ca 3.54-3.55
Ac: 0.0000 0.0000 0.5000  8 Au 3.31
Au: 0.5000 0.5000 0.0000  8 Ca 3.17, 2 Au 3.55
Au: 0.5000 0.5000 0.1942  8 Ca 3.17-3.18, 1 Au 3.55
Au: 0.5000 0.5000 0.3904  4 Ca 3.20, 4 Ac 3.31
Au: 0.5000 0.5000 0.6096  4 Ca 3.20, 4 Ac 3.31
Au: 0.5000 0.5000 0.8058  8 Ca 3.17-3.18, 1 Au 3.55

## Properties
As for the space group: P4/mmm. As for the magnetic moment: 0.00 μB/f.u. For the density, the calculation gives 9.0 g/cm³. Its density of states at the Fermi level is 0.646 states/eV per atom. The value obtained for the calculated formation energy is -0.775 eV per atom.

=====

[12]
# Li2SmLu

A geometry-optimized Li2SmLu structure (PBE, Alexandria).

Lattice parameters (Å, degrees): 3.6930 3.6930 7.4569 90.00 90.00 90.00
With the nearest neighbours (Å) after each atom.
Atoms (fractional coordinates):
Li: 0.0000 0.0000 0.2429  4 Lu 3.18, 4 Sm 3.24
Li: 0.0000 0.0000 0.7571  4 Lu 3.18, 4 Sm 3.24
Sm: 0.5000 0.5000 0.5000  8 Li 3.24
Lu: 0.5000 0.5000 0.0000  8 Li 3.18

## Properties
The value obtained for the distance to the lowest polymorph of the same formula is 0.0000 eV/atom. As for the space group: P4/mmm. As for the magnetic moment: 0.03 μB/f.u. For the density, the calculation gives 5.5 g/cm³. Its density of states at the Fermi level is 0.952 states/eV per atom. The value obtained for the calculated formation energy is 0.156 eV per atom.

=====

Q: Look up the density of states at the Fermi level of the fourth one.
A: 1.367 states/eV per atom

=====

Repeat the eleventh record exactly.
# Ca4AcAu5

A geometry-optimized Ca4AcAu5 structure (PBE, Alexandria).

Lattice parameters (Å, degrees): 3.7221 3.7221 18.2752 90.00 90.00 90.00
With the nearest neighbours (Å) after each atom.
Atoms (fractional coordinates):
Ca: 0.0000 0.0000 0.0967  8 Au 3.17-3.18, 2 Ca 3.54-3.55
Ca: 0.0000 0.0000 0.2909  8 Au 3.17-3.20, 1 Ca 3.55
Ca: 0.0000 0.0000 0.7091  8 Au 3.17-3.20, 1 Ca 3.55
Ca: 0.0000 0.0000 0.9033  8 Au 3.17-3.18, 2 Ca 3.54-3.55
Ac: 0.0000 0.0000 0.5000  8 Au 3.31
Au: 0.5000 0.5000 0.0000  8 Ca 3.17, 2 Au 3.55
Au: 0.5000 0.5000 0.1942  8 Ca 3.17-3.18, 1 Au 3.55
Au: 0.5000 0.5000 0.3904  4 Ca 3.20, 4 Ac 3.31
Au: 0.5000 0.5000 0.6096  4 Ca 3.20, 4 Ac 3.31
Au: 0.5000 0.5000 0.8058  8 Ca 3.17-3.18, 1 Au 3.55

## Properties
As for the space group: P4/mmm. As for the magnetic moment: 0.00 μB/f.u. For the density, the calculation gives 9.0 g/cm³. Its density of states at the Fermi level is 0.646 states/eV per atom. The value obtained for the calculated formation energy is -0.775 eV per atom.

=====

Q: Among the records above, which one has the highest magnetic moment?
A: YZrO2F